Entry 1:
SmYIr4: optimized geometry, GGA-PBE.

a b c (Å): 5.3890 5.3890 5.3890
angles (deg): 60.00 60.00 60.00
Fractional coordinates of all 6 atoms:
Sm 0.0000 0.0000 0.0000
Y 0.2500 0.2500 0.2500
Ir 0.1252 0.6249 0.6249
Ir 0.6249 0.1252 0.6249
Ir 0.6249 0.6249 0.1252
Ir 0.6249 0.6249 0.6249

DFT formation energy = -4.61 eV/f.u.
Space-group type = F-43m, No. 216
Energy = -51.24 eV for the cell shown

=====

Entry 2:
CdReS2: optimized geometry, GGA-PBE.

a b c (Å): 9.4812 9.4812 9.4812
angles (deg): 18.75 18.75 18.75
Fractional coordinates of all 4 atoms:
Cd 0.0000 0.0000 0.0000
Re 0.5000 0.5000 0.5000
S 0.1082 0.1082 0.1082
S 0.8918 0.8918 0.8918

Space-group type = R-3m, No. 166
Energy = -22.21 eV for the cell shown
Formation energy from raw total energies = -0.15 eV per atom

=====

Entry 3:
BaEuZn4: optimized geometry, GGA-PBE.

a b c (Å): 5.8562 5.8562 5.8562
angles (deg): 60.00 60.00 60.00
Fractional coordinates of all 6 atoms:
Ba 0.0000 0.0000 0.0000
Eu 0.7500 0.7500 0.7500
Zn 0.3764 0.3764 0.3764
Zn 0.3764 0.3764 0.8708
Zn 0.3764 0.8708 0.3764
Zn 0.8708 0.3764 0.3764

DFT formation energy = -0.87 eV/f.u.
Space-group type = F-43m, No. 216
Energy = -18.17 eV for the cell shown

=====

> Which value of energy does entry 1 give?

-51.24 eV for the cell shown

=====

> Number 2 is which compound?

CdReS2